Entry 1:
CaAc2Cd | GGA-PBE | relaxed

Computed properties:
total magnetization = 0.00 μB per cell
space group = Cmcm (63)

Cell: 4.124 7.323 10.745 Å, 90.00 90.00 106.37°
Sites, in units of the cell vectors:
Ca 0.946 0.892 0.250
Ca 0.054 0.108 0.750
Ac 0.363 0.726 0.550
Ac 0.637 0.274 0.450
Ac 0.363 0.726 0.950
Ac 0.637 0.274 0.050
Cd 0.736 0.473 0.750
Cd 0.264 0.527 0.250

***

Entry 2:
CaAcCd | GGA-PBE | relaxed

Computed properties:
total magnetization = 0.00 μB per cell
space group = Cm (8)

Cell: 5.707 5.707 8.437 Å, 89.92 109.73 120.19°
Sites, in units of the cell vectors:
Ca 0.053 0.161 0.213
Ca 0.718 0.992 0.710
Ac 0.551 0.408 0.959
Ac 0.890 0.579 0.469
Cd 0.175 0.719 0.894
Cd 0.431 0.850 0.281

***

Entry 3:
CaAc4Cd | GGA-PBE | relaxed

Computed properties:
total magnetization = 0.00 μB per cell
space group = P4/mmm (123)

Cell: 4.006 4.006 15.355 Å, 90.00 90.00 90.00°
Sites, in units of the cell vectors:
Ca 0.000 0.000 0.000
Ac 0.500 0.500 0.181
Ac 0.000 0.000 0.638
Ac 0.000 0.000 0.362
Ac 0.500 0.500 0.819
Cd 0.500 0.500 0.500

***

Entry 4:
CaAcCd | GGA-PBE | relaxed

Computed properties:
total magnetization = 0.00 μB per cell
space group = P3m1 (156)

Cell: 3.917 5.601 5.601 Å, 120.00 90.00 90.00°
Sites, in units of the cell vectors:
Ac 0.999 0.000 0.000
Ca 0.499 0.333 0.667
Cd 0.502 0.667 0.333

***

Entry 5:
Ca2Ac2Cd | GGA-PBE | relaxed

Computed properties:
total magnetization = 0.00 μB per cell
space group = I4/mmm (139)

Cell: 3.913 3.913 12.715 Å, 98.85 98.85 90.00°
Sites, in units of the cell vectors:
Ca 0.576 0.576 0.151
Ca 0.424 0.424 0.849
Ac 0.805 0.805 0.610
Ac 0.195 0.195 0.390
Cd 0.000 0.000 0.000

***

Entry 6:
CaAc3Cd8 | GGA-PBE | relaxed

Computed properties:
total magnetization = 0.00 μB per cell
space group = P3m1 (156)

Cell: 6.258 6.258 9.852 Å, 90.00 90.00 120.00°
Sites, in units of the cell vectors:
Ca 0.000 0.000 0.561
Ac 0.667 0.333 0.441
Ac 0.667 0.333 0.057
Ac 0.000 0.000 0.941
Cd 0.333 0.667 0.499
Cd 0.333 0.667 0.000
Cd 0.501 0.003 0.747
Cd 0.501 0.499 0.747
Cd 0.997 0.499 0.747
Cd 0.164 0.328 0.253
Cd 0.164 0.836 0.253
Cd 0.672 0.836 0.253

***

Entry 7:
CaAcCd | GGA-PBE | relaxed

Computed properties:
total magnetization = 0.00 μB per cell
space group = F-43m (216)

Cell: 5.510 5.510 5.510 Å, 60.00 60.00 60.00°
Sites, in units of the cell vectors:
Ac 0.000 0.000 0.000
Ca 0.500 0.500 0.500
Cd 0.250 0.250 0.250

***

Entry 8:
CaAc5Cd3 | GGA-PBE | relaxed

Computed properties:
total magnetization = 0.00 μB per cell
space group = P6_3/mcm (193)

Cell: 7.463 10.111 10.111 Å, 120.00 90.00 90.00°
Sites, in units of the cell vectors:
Ca 0.000 0.000 0.000
Ca 0.500 0.000 0.000
Ac 0.000 0.667 0.333
Ac 0.500 0.333 0.667
Ac 0.000 0.333 0.667
Ac 0.500 0.667 0.333
Ac 0.750 0.672 0.672
Ac 0.750 0.000 0.328
Ac 0.750 0.329 0.000
Ac 0.250 0.328 0.328
Ac 0.250 0.000 0.672
Ac 0.250 0.671 0.000
Cd 0.750 0.333 0.333
Cd 0.750 0.000 0.667
Cd 0.750 0.667 0.000
Cd 0.250 0.667 0.667
Cd 0.250 0.000 0.333
Cd 0.250 0.333 0.000

***

Entry 9:
Ca4Ac9Cd11 | GGA-PBE | relaxed

Computed properties:
total magnetization = 0.00 μB per cell
space group = Cmmm (65)

Cell: 3.784 14.846 14.846 Å, 107.11 90.00 90.00°
Sites, in units of the cell vectors:
Ca 0.500 0.579 0.754
Ca 0.500 0.421 0.246
Ca 0.500 0.754 0.579
Ca 0.500 0.246 0.421
Ac 0.500 0.624 0.153
Ac 0.500 0.376 0.847
Ac 0.500 0.153 0.624
Ac 0.500 0.847 0.376
Ac 0.500 0.795 0.970
Ac 0.500 0.205 0.030
Ac 0.500 0.970 0.795
Ac 0.500 0.030 0.205
Ac 0.500 0.500 0.500
Cd 0.000 0.585 0.945
Cd 0.000 0.415 0.055
Cd 0.000 0.945 0.585
Cd 0.000 0.055 0.415
Cd 0.000 0.628 0.372
Cd 0.000 0.372 0.628
Cd 0.000 0.827 0.173
Cd 0.000 0.173 0.827
Cd 0.000 0.000 0.000
Cd 0.000 0.762 0.762
Cd 0.000 0.238 0.238

***

Entry 10:
Ca2Ac3Cd3 | GGA-PBE | relaxed

Computed properties:
total magnetization = 0.00 μB per cell
space group = Immm (71)

Cell: 4.047 5.864 12.472 Å, 103.60 99.34 90.00°
Sites, in units of the cell vectors:
Ca 0.730 0.230 0.459
Ca 0.270 0.770 0.541
Ac 0.619 0.619 0.238
Ac 0.381 0.381 0.762
Ac 0.500 0.000 0.000
Cd 0.121 0.121 0.242
Cd 0.000 0.500 0.000
Cd 0.879 0.879 0.758

***

Entry 11:
Ca2AcCd4 | GGA-PBE | relaxed

Computed properties:
total magnetization = 0.00 μB per cell
space group = Immm (71)

Cell: 5.066 3.913 11.035 Å, 100.21 103.27 90.00°
Sites, in units of the cell vectors:
Ca 0.805 0.805 0.610
Ca 0.195 0.195 0.390
Ac 0.500 0.000 0.000
Cd 0.646 0.646 0.292
Cd 0.354 0.354 0.708
Cd 0.070 0.570 0.141
Cd 0.930 0.430 0.859

***

Entry 12:
Ca2Ac3Cd2 | GGA-PBE | relaxed

Computed properties:
total magnetization = 0.00 μB per cell
space group = C2/m (12)

Cell: 4.110 7.559 9.874 Å, 113.57 90.00 105.77°
Sites, in units of the cell vectors:
Ca 0.851 0.702 0.181
Ca 0.149 0.298 0.819
Ac 0.500 0.000 0.000
Ac 0.613 0.226 0.441
Ac 0.387 0.774 0.559
Cd 0.814 0.627 0.787
Cd 0.186 0.373 0.213

***

Entry 13:
CaAc2Cd10 | GGA-PBE | relaxed

Computed properties:
total magnetization = 0.00 μB per cell
space group = Pbam (55)

Cell: 6.256 6.674 20.025 Å, 90.00 90.00 90.00°
Sites, in units of the cell vectors:
Ca 0.000 0.500 0.500
Ca 0.000 0.000 0.000
Ac 0.500 0.332 0.816
Ac 0.500 0.668 0.184
Ac 0.500 0.832 0.684
Ac 0.500 0.168 0.316
Cd 0.000 0.053 0.568
Cd 0.000 0.947 0.432
Cd 0.000 0.553 0.932
Cd 0.000 0.447 0.068
Cd 0.000 0.044 0.729
Cd 0.000 0.956 0.271
Cd 0.273 0.167 0.149
Cd 0.273 0.833 0.851
Cd 0.727 0.667 0.351
Cd 0.727 0.333 0.649
Cd 0.727 0.833 0.851
Cd 0.727 0.167 0.149
Cd 0.273 0.333 0.649
Cd 0.273 0.667 0.351
Cd 0.000 0.813 0.137
Cd 0.000 0.187 0.863
Cd 0.000 0.313 0.363
Cd 0.000 0.687 0.637
Cd 0.000 0.456 0.229
Cd 0.000 0.544 0.771

***

Entry 14:
CaAc2Cd3 | GGA-PBE | relaxed

Computed properties:
total magnetization = 0.00 μB per cell
space group = P-3m1 (164)

Cell: 5.670 5.670 13.918 Å, 90.00 90.00 120.00°
Sites, in units of the cell vectors:
Ca 0.333 0.667 0.665
Ca 0.667 0.333 0.335
Ac 0.000 0.000 0.500
Ac 0.333 0.667 0.172
Ac 0.667 0.333 0.828
Ac 0.000 0.000 0.000
Cd 0.333 0.667 0.417
Cd 0.667 0.333 0.088
Cd 0.000 0.000 0.745
Cd 0.000 0.000 0.255
Cd 0.333 0.667 0.912
Cd 0.667 0.333 0.583

***

Entry 15:
CaAcCd3 | GGA-PBE | relaxed

Computed properties:
total magnetization = 0.00 μB per cell
space group = Cmcm (63)

Cell: 5.149 3.862 15.125 Å, 97.34 90.00 90.00°
Sites, in units of the cell vectors:
Ca 0.250 0.789 0.578
Ca 0.750 0.211 0.422
Ac 0.250 0.075 0.151
Ac 0.750 0.925 0.849
Cd 0.250 0.376 0.753
Cd 0.750 0.624 0.247
Cd 0.250 0.476 0.951
Cd 0.750 0.524 0.049
Cd 0.750 0.322 0.645
Cd 0.250 0.678 0.355

***

Entry 16:
Ca2Ac2Cd | GGA-PBE | relaxed

Computed properties:
total magnetization = 0.00 μB per cell
space group = C2/m (12)

Cell: 8.228 8.196 8.274 Å, 74.82 58.56 59.87°
Sites, in units of the cell vectors:
Ca 0.854 0.000 0.397
Ca 0.608 0.000 0.137
Ca 0.392 0.000 0.863
Ca 0.146 0.000 0.603
Ac 0.551 0.425 0.755
Ac 0.449 0.575 0.245
Ac 0.976 0.575 0.755
Ac 0.024 0.425 0.245
Cd 0.106 0.788 0.000
Cd 0.894 0.212 0.000

***

Entry 17:
CaAc6Cd5 | GGA-PBE | relaxed

Computed properties:
total magnetization = 0.00 μB per cell
space group = Immm (71)

Cell: 5.803 8.239 10.096 Å, 114.08 106.70 90.00°
Sites, in units of the cell vectors:
Ca 0.000 0.000 0.000
Ac 0.828 0.570 0.655
Ac 0.828 0.085 0.655
Ac 0.500 0.732 0.000
Ac 0.500 0.268 0.000
Ac 0.172 0.915 0.345
Ac 0.172 0.430 0.345
Cd 0.653 0.153 0.307
Cd 0.333 0.333 0.665
Cd 0.000 0.500 0.000
Cd 0.667 0.667 0.335
Cd 0.347 0.847 0.693

***

Entry 18:
Ca4AcCd2 | GGA-PBE | relaxed

Computed properties:
total magnetization = 0.00 μB per cell
space group = P2_1/m (11)

Cell: 6.904 9.024 8.796 Å, 111.84 90.00 90.00°
Sites, in units of the cell vectors:
Ca 0.501 0.419 0.768
Ca 0.250 0.259 0.351
Ca 0.750 0.741 0.649
Ca 0.999 0.419 0.768
Ca 0.750 0.016 0.398
Ca 0.001 0.581 0.232
Ca 0.499 0.581 0.232
Ca 0.250 0.984 0.602
Ac 0.250 0.859 0.999
Ac 0.750 0.141 0.001
Cd 0.250 0.250 0.980
Cd 0.750 0.750 0.020
Cd 0.750 0.373 0.414
Cd 0.250 0.627 0.586

***

Entry 19:
CaAc2Cd | GGA-PBE | relaxed

Computed properties:
total magnetization = 0.00 μB per cell
space group = P4/mmm (123)

Cell: 4.167 4.167 8.821 Å, 90.00 90.00 90.00°
Sites, in units of the cell vectors:
Ac 0.000 0.000 0.780
Ac 0.000 0.000 0.220
Ca 0.500 0.500 0.500
Cd 0.500 0.500 0.000

***

Entry 20:
CaAc2Cd | GGA-PBE | relaxed

Computed properties:
total magnetization = 0.00 μB per cell
space group = C2/m (12)

Cell: 5.600 5.600 10.428 Å, 105.61 105.61 89.98°
Sites, in units of the cell vectors:
Ca 0.349 0.349 0.197
Ca 0.651 0.651 0.803
Ac 0.854 0.854 0.209
Ac 0.146 0.146 0.791
Ac 0.500 0.000 0.500
Ac 0.000 0.500 0.500
Cd 0.249 0.751 0.000
Cd 0.751 0.249 0.000

***

| no. | electronic total energy (eV per atom) | DFT formation energy (meV/atom) |
| --- | --- | --- |
| 1 | -2.89 | -108 |
| 2 | -2.45 | -108 |
| 3 | -3.31 | -84 |
| 4 | -2.45 | -108 |
| 5 | -2.75 | -122 |
| 6 | -2.10 | -295 |
| 7 | -2.39 | -52 |
| 8 | -2.95 | -141 |
| 9 | -2.53 | -235 |
| 10 | -2.59 | -206 |
| 11 | -2.00 | -322 |
| 12 | -2.71 | -115 |
| 13 | -1.57 | -84 |
| 14 | -2.49 | -331 |
| 15 | -2.10 | -325 |
| 16 | -2.62 | 3 |
| 17 | -2.83 | -230 |
| 18 | -2.13 | -142 |
| 19 | -2.90 | -121 |
| 20 | -2.92 | -141 |